Record 1
4
Lattice="5.987 -0.015 0.017 2.892 5.242 -0.017 -3.628 -3.992 2.597" Properties=species:S:1:pos:R:3 comment="PBE-GGA Hg2AsPt, optimized geometry" space_group=Immm energy_ev_per_cell=-10.3 magmom_total_mub_per_cell=0.0 pbc="T T T"
Hg 8.748 5.150 0.000
Hg 4.570 2.690 0.000
As 1.852 1.931 1.290
Pt 3.399 -0.697 1.307

***

Record 2
4
Lattice="3.993 0.000 0.000 0.000 3.976 0.535 0.000 3.343 5.261" Properties=species:S:1:pos:R:3 comment="PBE-GGA HgAs2Pt, optimized geometry" space_group=Pmmm energy_ev_per_cell=-14.6 magmom_total_mub_per_cell=0.0 pbc="T T T"
Hg 1.997 3.660 2.898
As 1.997 1.988 0.268
As 0.000 0.000 0.000
Pt 0.000 1.672 2.630

***

Copy entry 2 word for word.
4
Lattice="3.993 0.000 0.000 0.000 3.976 0.535 0.000 3.343 5.261" Properties=species:S:1:pos:R:3 comment="PBE-GGA HgAs2Pt, optimized geometry" space_group=Pmmm energy_ev_per_cell=-14.6 magmom_total_mub_per_cell=0.0 pbc="T T T"
Hg 1.997 3.660 2.898
As 1.997 1.988 0.268
As 0.000 0.000 0.000
Pt 0.000 1.672 2.630